# ZnTc3S, optimized geometry, DFT GGA-PBE
# E_tot = -5.298 eV/atom
# crystal system = cubic
# distance to the lowest polymorph of the same formula = 7.69 eV/f.u.
data_ZnTc3S
_chemical_formula_sum 'Zn1 Tc3 S1'
_space_group_name_H-M_alt 'P m -3 m'
_space_group_IT_number 221
_space_group_name_Hall '-P 4 2 3'
_cell_length_a 4.556
_cell_length_b 4.556
_cell_length_c 4.556
_cell_angle_alpha 90.00
_cell_angle_beta 90.00
_cell_angle_gamma 90.00
loop_
_atom_site_label
_atom_site_type_symbol
_atom_site_fract_x
_atom_site_fract_y
_atom_site_fract_z
_atom_site_occupancy
Zn1 Zn 0.000 0.000 0.000 1
Tc1 Tc 0.000 0.000 0.500 1
S1 S 0.500 0.500 0.500 1


# ZnTc3S, optimized geometry, DFT GGA-PBE
# E_tot = -6.835 eV/atom
# crystal system = cubic
# distance to the lowest polymorph of the same formula = 0.00 eV/f.u.
data_ZnTc3S
_chemical_formula_sum 'Zn1 Tc3 S1'
_space_group_name_H-M_alt 'P m -3 m'
_space_group_IT_number 221
_space_group_name_Hall '-P 4 2 3'
_cell_length_a 4.345
_cell_length_b 4.345
_cell_length_c 4.345
_cell_angle_alpha 90.00
_cell_angle_beta 90.00
_cell_angle_gamma 90.00
loop_
_atom_site_label
_atom_site_type_symbol
_atom_site_fract_x
_atom_site_fract_y
_atom_site_fract_z
_atom_site_occupancy
Zn1 Zn 0.000 0.000 0.000 1
Tc1 Tc 0.000 0.500 0.500 1
S1 S 0.500 0.500 0.500 1


# ZrTcS, optimized geometry, DFT GGA-PBE
# E_tot = -8.199 eV/atom
# crystal system = tetragonal
data_ZrTcS
_chemical_formula_sum 'Zr2 Tc2 S2'
_space_group_name_H-M_alt 'P 4/n m m'
_space_group_IT_number 129
_cell_length_a 3.476
_cell_length_b 3.476
_cell_length_c 9.051
_cell_angle_alpha 90.00
_cell_angle_beta 90.00
_cell_angle_gamma 90.00
loop_
_space_group_symop_operation_xyz
'x,y,z'
'-x,-y,-z'
'-y+1/2,x,z'
'y+1/2,-x,-z'
'-x+1/2,-y+1/2,z'
'x+1/2,y+1/2,-z'
'y,-x+1/2,z'
'-y,x+1/2,-z'
'x+1/2,-y,-z'
'-x+1/2,y,z'
'-y,-x,-z'
'y,x,z'
'-x,y+1/2,-z'
'x,-y+1/2,z'
'y+1/2,x+1/2,-z'
'-y+1/2,-x+1/2,z'
loop_
_atom_site_label
_atom_site_type_symbol
_atom_site_fract_x
_atom_site_fract_y
_atom_site_fract_z
_atom_site_occupancy
Zr1 Zr 0.250 0.250 0.131 1
Tc1 Tc 0.250 0.250 0.527 1
S1 S 0.250 0.250 0.787 1


# ZrTc3S, optimized geometry, DFT GGA-PBE
# E_tot = -8.758 eV/atom
# crystal system = cubic
# distance to the lowest polymorph of the same formula = 0.00 eV/f.u.
data_ZrTc3S
_chemical_formula_sum 'Zr1 Tc3 S1'
_space_group_name_H-M_alt 'P m -3 m'
_space_group_IT_number 221
_space_group_name_Hall '-P 4 2 3'
_cell_length_a 4.376
_cell_length_b 4.376
_cell_length_c 4.376
_cell_angle_alpha 90.00
_cell_angle_beta 90.00
_cell_angle_gamma 90.00
loop_
_atom_site_label
_atom_site_type_symbol
_atom_site_fract_x
_atom_site_fract_y
_atom_site_fract_z
_atom_site_occupancy
Zr1 Zr 0.000 0.000 0.000 1
Tc1 Tc 0.000 0.500 0.500 1
S1 S 0.500 0.500 0.500 1


# ZrTcS3, optimized geometry, DFT GGA-PBE
# E_tot = -6.167 eV/atom
# crystal system = cubic
# distance to the lowest polymorph of the same formula = 0.36 eV/f.u.
data_ZrTcS3
_chemical_formula_sum 'Zr1 Tc1 S3'
_space_group_name_H-M_alt 'P m -3 m'
_space_group_IT_number 221
_space_group_name_Hall '-P 4 2 3'
_cell_length_a 4.955
_cell_length_b 4.955
_cell_length_c 4.955
_cell_angle_alpha 90.00
_cell_angle_beta 90.00
_cell_angle_gamma 90.00
loop_
_atom_site_label
_atom_site_type_symbol
_atom_site_fract_x
_atom_site_fract_y
_atom_site_fract_z
_atom_site_occupancy
Zr1 Zr 0.000 0.000 0.000 1
Tc1 Tc 0.500 0.500 0.500 1
S1 S 0.000 0.000 0.500 1


# ZrTcS3, optimized geometry, DFT GGA-PBE
# E_tot = -6.240 eV/atom
# crystal system = cubic
# distance to the lowest polymorph of the same formula = 0.00 eV/f.u.
data_ZrTcS3
_chemical_formula_sum 'Zr1 Tc1 S3'
_space_group_name_H-M_alt 'P m -3 m'
_space_group_IT_number 221
_space_group_name_Hall '-P 4 2 3'
_cell_length_a 4.586
_cell_length_b 4.586
_cell_length_c 4.586
_cell_angle_alpha 90.00
_cell_angle_beta 90.00
_cell_angle_gamma 90.00
loop_
_atom_site_label
_atom_site_type_symbol
_atom_site_fract_x
_atom_site_fract_y
_atom_site_fract_z
_atom_site_occupancy
Zr1 Zr 0.000 0.000 0.000 1
Tc1 Tc 0.500 0.500 0.500 1
S1 S 0.000 0.500 0.500 1


# ZrTc3S, optimized geometry, DFT GGA-PBE
# E_tot = -6.520 eV/atom
# crystal system = cubic
# distance to the lowest polymorph of the same formula = 11.19 eV/f.u.
data_ZrTc3S
_chemical_formula_sum 'Zr1 Tc3 S1'
_space_group_name_H-M_alt 'P m -3 m'
_space_group_IT_number 221
_space_group_name_Hall '-P 4 2 3'
_cell_length_a 4.849
_cell_length_b 4.849
_cell_length_c 4.849
_cell_angle_alpha 90.00
_cell_angle_beta 90.00
_cell_angle_gamma 90.00
loop_
_atom_site_label
_atom_site_type_symbol
_atom_site_fract_x
_atom_site_fract_y
_atom_site_fract_z
_atom_site_occupancy
Zr1 Zr 0.000 0.000 0.000 1
Tc1 Tc 0.000 0.000 0.500 1
S1 S 0.500 0.500 0.500 1


# Zr3TcS6, optimized geometry, DFT GGA-PBE
# E_tot = -7.241 eV/atom
# crystal system = trigonal
data_Zr3TcS6
_chemical_formula_sum 'Zr18 Tc6 S36'
_space_group_name_H-M_alt 'R -3'
_space_group_IT_number 148
_space_group_name_Hall '-R 3'
_cell_length_a 10.1639
_cell_length_b 10.1639
_cell_length_c 13.3958
_cell_angle_alpha 90.00
_cell_angle_beta 90.00
_cell_angle_gamma 120.00
loop_
_atom_site_label
_atom_site_type_symbol
_atom_site_fract_x
_atom_site_fract_y
_atom_site_fract_z
_atom_site_occupancy
Zr1 Zr 0.0363 0.4482 0.3752 1
Tc1 Tc 0.0000 0.0000 0.0000 1
Tc2 Tc 0.0000 0.0000 0.5000 1
S1 S 0.0102 0.8131 0.1137 1
S2 S 0.0358 0.1910 0.3776 1


no.,formation energy without anion corrections (eV/atom),calculated volume (Å³ per atom)
1,2.00,18.9
2,0.47,16.4
3,-0.52,18.2
4,0.00,16.8
5,0.09,24.3
6,0.02,19.3
7,2.23,22.8
8,-1.16,20.0